Entry 1:
Density functional theory data (PBE) for a geometry-optimized PuRh3O6 structure.

Unit cell a=3.348 b=6.204 c=6.204 alpha=109.01 beta=90.00 gamma=90.00
Site moments in Bohr magnetons follow the coordinates.
Atoms (fractional coordinates):
Pu  0.000  0.500  0.500  4.37
Rh  0.500  0.500  0.000  -0.09
Rh  0.000  0.000  0.000  -0.25
Rh  0.500  0.000  0.500  -0.09
O  0.000  0.082  0.339  -0.05
O  0.000  0.918  0.661  -0.05
O  0.000  0.339  0.082  -0.05
O  0.000  0.661  0.918  -0.05
O  0.500  0.652  0.348  -0.09
O  0.500  0.348  0.652  -0.09

Computed properties:
As for the symmetry: Cmmm, No. 65. The density of states at the Fermi level is 4.83 states/eV/f.u. The formation energy without anion corrections is -1.32 eV/atom.

***

Entry 2:
Density functional theory data (PBE) for a geometry-optimized PuRh3O8 structure.

Unit cell a=5.110 b=5.110 c=6.361 alpha=90.00 beta=90.00 gamma=120.00
Site moments in Bohr magnetons follow the coordinates.
Atoms (fractional coordinates):
Pu  0.000  0.000  0.500  4.71
Rh  0.333  0.667  0.000  -0.27
Rh  0.667  0.333  0.000  -0.27
Rh  0.000  0.000  0.000  -0.21
O  0.328  0.328  0.825  -0.05
O  0.672  0.000  0.825  -0.05
O  0.000  0.672  0.825  -0.05
O  0.672  0.672  0.175  -0.05
O  0.328  0.000  0.175  -0.05
O  0.000  0.328  0.175  -0.05
O  0.333  0.667  0.500  0.55
O  0.667  0.333  0.500  0.55

Computed properties:
As for the symmetry: P-31m, No. 162. The density of states at the Fermi level is 14.29 states/eV/f.u. The formation energy without anion corrections is -0.63 eV/atom.

***

Entry 3:
Density functional theory data (PBE) for a geometry-optimized PuRuRhO6 structure.

Unit cell a=5.172 b=5.172 c=9.095 alpha=90.00 beta=90.00 gamma=120.00
Site moments in Bohr magnetons follow the coordinates.
Atoms (fractional coordinates):
Pu  0.667  0.333  0.250  2.91
Pu  0.333  0.667  0.750  2.91
Ru  0.000  0.000  0.000  -0.97
Ru  0.000  0.000  0.500  -0.97
Rh  0.333  0.667  0.250  -0.17
Rh  0.667  0.333  0.750  -0.17
O  0.671  0.679  0.124  -0.12
O  0.008  0.329  0.124  -0.12
O  0.329  0.008  0.624  -0.12
O  0.992  0.671  0.876  -0.12
O  0.321  0.329  0.376  -0.12
O  0.008  0.679  0.376  -0.12
O  0.679  0.008  0.876  -0.12
O  0.671  0.992  0.376  -0.12
O  0.992  0.321  0.624  -0.12
O  0.321  0.992  0.124  -0.12
O  0.679  0.671  0.624  -0.12
O  0.329  0.321  0.876  -0.12

Computed properties:
As for the symmetry: P-31c, No. 163. The density of states at the Fermi level is 5.42 states/eV/f.u. The formation energy without anion corrections is -1.56 eV/atom.

***

Entry 4:
Density functional theory data (PBE) for a geometry-optimized PuSc2RhO8 structure.

Unit cell a=4.874 b=4.873 c=6.334 alpha=90.00 beta=90.00 gamma=92.20
Site moments in Bohr magnetons follow the coordinates.
Atoms (fractional coordinates):
Pu  0.000  0.000  0.000  2.12
Sc  0.500  0.500  0.737  0.00
Sc  0.500  0.500  0.263  0.00
Rh  0.000  0.000  0.500  -0.39
O  0.189  0.810  0.253  -0.09
O  0.700  0.700  0.000  -0.08
O  0.811  0.190  0.253  -0.09
O  0.811  0.190  0.747  -0.09
O  0.300  0.300  0.000  -0.08
O  0.189  0.810  0.747  -0.09
O  0.702  0.702  0.500  -0.07
O  0.298  0.298  0.500  -0.07

Computed properties:
As for the symmetry: Cmmm, No. 65. The density of states at the Fermi level is 8.19 states/eV/f.u. The formation energy without anion corrections is -2.44 eV/atom.